(1)
TbTaNO: optimized geometry, PBE-GGA.

extended XYZ file:
```
8
Lattice="-0.0576 -3.1201 3.0673 3.9662 1.2580 1.3541 -2.4933 3.7764 3.7946" Properties=species:S:1:pos:R:3 pbc="T T T"
N 1.0933 1.9768 2.0313
N -1.6322 0.8686 3.9740
O 0.0000 0.0000 0.0000
O 1.9543 -0.9311 2.2107
Ta 1.9168 0.7294 0.7780
Ta -2.4558 2.1159 5.2274
Tb -1.2466 1.8882 1.8973
Tb 0.7077 0.9571 4.1080
```

Calculated values
Its density is 10.864 g cm⁻³. As for the crystal system: tetragonal. Its size of the total moment is 0.04 μB per atom.

(2)
TbTaNO: optimized geometry, PBE-GGA.

extended XYZ file:
```
8
Lattice="-1.0058 1.4216 3.0767 -2.1459 -5.1586 1.6820 5.3595 -1.4410 2.4179" Properties=species:S:1:pos:R:3 pbc="T T T"
N 0.2769 -4.9868 2.3946
N 2.4798 -2.7114 2.0634
O -0.0521 -1.5569 2.7335
O 1.7267 -4.9030 4.8611
Ta 0.5665 -3.1821 1.6555
Ta 3.5988 -1.1296 1.6984
Tb -1.8296 -4.6397 3.5768
Tb 2.9857 -3.0666 4.4242
```

Calculated values
Its density is 9.837 g cm⁻³. As for the crystal system: orthorhombic. Its size of the total moment is 0.00 μB per atom.

(3)
TbTaNO: optimized geometry, PBE-GGA.

extended XYZ file:
```
8
Lattice="4.0686 0.0000 0.0000 0.0000 5.0963 0.0000 0.0000 0.0000 5.3596" Properties=species:S:1:pos:R:3 pbc="T T T"
N 0.0000 5.0889 1.6528
N 0.0000 2.5408 3.7068
O 2.0343 1.3191 0.0334
O 2.0343 3.8672 5.3262
Ta 2.0343 5.0922 1.6067
Ta 2.0343 2.5441 3.7529
Tb 0.0000 2.5349 1.2491
Tb 0.0000 5.0831 4.1106
```

Calculated values
Its density is 11.054 g cm⁻³. As for the crystal system: orthorhombic. Its size of the total moment is 0.00 μB per atom.

no.,final energy (eV for the cell shown),ΔE to the lowest computed polymorph (kJ/mol of atoms)
1,-69.4,49.1
2,-71.6,22.7
3,-73.2,2.8